Entry 1:
Li3Hg2Pd4: optimized geometry, PBE.

Summary:
Formation energy from the elements (eV/atom): -0.369

Cell: 4.9052 4.9052 8.4074 Å, 108.16 108.16 48.87°
Last column: nearest neighbours and their distance in Å.
Positions (direct):
Li 0.0000 0.0000 0.0000  8 Pd 2.82-2.84, 4 Hg 2.87
Li 0.3435 0.3435 0.4377  1 Li 2.63, 6 Pd 2.71-2.82, 3 Hg 2.76-2.85
Li 0.6565 0.6565 0.5623  1 Li 2.63, 6 Pd 2.71-2.82, 3 Hg 2.76-2.85
Hg 0.3239 0.3239 0.7695  5 Li 2.76-2.87, 7 Pd 2.83-2.86
Hg 0.6761 0.6761 0.2305  5 Li 2.76-2.87, 7 Pd 2.83-2.86
Pd 0.0137 0.0137 0.3404  6 Li 2.76-2.82, 3 Pd 2.78-2.86, 3 Hg 2.83
Pd 0.3379 0.3379 0.1139  4 Li 2.71-2.84, 4 Hg 2.84-2.86, 4 Pd 2.86
Pd 0.6621 0.6621 0.8861  4 Li 2.71-2.84, 4 Hg 2.84-2.86, 4 Pd 2.86
Pd 0.9863 0.9863 0.6596  6 Li 2.76-2.82, 3 Pd 2.78-2.86, 3 Hg 2.83

Entry 2:
CeDySc2: optimized geometry, PBE.

Summary:
Energy above the most stable polymorph in this dataset (meV/atom): 0.0
Formation energy from the elements (eV/atom): 0.066

Cell: 11.0265 11.0265 11.0265 Å, 17.66 17.66 17.66°
Last column: nearest neighbours and their distance in Å.
Positions (direct):
Ce 0.0000 0.0000 0.0000  6 Sc 3.31, 6 Ce 3.39
Dy 0.5000 0.5000 0.5000  6 Sc 3.38, 6 Dy 3.39
Sc 0.2515 0.2515 0.2515  3 Ce 3.31, 3 Dy 3.38, 6 Sc 3.39
Sc 0.7485 0.7485 0.7485  3 Ce 3.31, 3 Dy 3.38, 6 Sc 3.39

Entry 3:
Sb2TeAsIr: optimized geometry, PBE.

Summary:
Formation energy without anion corrections (eV/f.u.): 6.7
Energy above the most stable polymorph in this dataset (meV/atom): 724.0

Cell: 5.1416 5.1416 5.2910 Å, 90.00 90.00 90.00°
Last column: nearest neighbours and their distance in Å.
Positions (direct):
Sb 0.0000 0.5000 0.0000  2 As 2.57
Sb 0.5000 0.0000 0.0000  2 As 2.57
Te 0.0000 0.0000 0.5000  2 As 2.65
As 0.0000 0.0000 0.0000  4 Sb 2.57, 2 Te 2.65
Ir 0.5000 0.5000 0.5000  4 Te 3.64, 8 Sb 3.69

Entry 4:
La7Tb3: optimized geometry, PBE.

Summary:
Formation energy from the elements (eV/atom): 0.051

Cell: 9.8600 9.8600 9.8600 Å, 146.83 136.90 55.45°
Last column: nearest neighbours and their distance in Å.
Positions (direct):
La 0.0000 0.0000 0.0000  4 Tb 3.48-3.62, 8 La 3.82
La 0.1446 0.3942 0.7505  8 La 3.62-3.87, 5 Tb 3.73-3.85
La 0.3018 0.8018 0.5000  5 Tb 3.33-3.62, 4 La 3.71
La 0.3563 0.6058 0.7505  8 La 3.62-3.87, 5 Tb 3.73-3.85
La 0.6437 0.3942 0.2495  8 La 3.62-3.87, 5 Tb 3.73-3.85
La 0.6982 0.1982 0.5000  5 Tb 3.33-3.62, 4 La 3.71
La 0.8554 0.6058 0.2495  8 La 3.62-3.87, 5 Tb 3.73-3.85
Tb 0.1994 0.1994 0.0000  9 La 3.33-3.73
Tb 0.5000 0.0000 0.5000  12 La 3.46-3.82
Tb 0.8006 0.8006 0.0000  9 La 3.33-3.73